The following is a PBE calculation of crystalline Li2Zr2AlInPd2 at its relaxed geometry, from OQMD via LeMat-Bulk.

abc: 4.5566 4.5566 6.4740
angles: 90.00 90.00 90.00
Space group P-4m2 (No. 115)
Asymmetric unit:
Li  0.0000  0.5000  0.2415 [2 per cell]
Zr  0.0000  0.0000  0.0000 [1 per cell]
Zr  0.5000  0.5000  0.5000 [1 per cell]
Al  0.5000  0.5000  0.0000 [1 per cell]
In  0.0000  0.0000  0.5000 [1 per cell]
Pd  0.0000  0.5000  0.7640 [2 per cell]

Calculated values
total energy: -42.57 eV per cell